Compound: YCr
Source: Alexandria via LeMat-Bulk
Functional: GGA-PBEsol
Structure: relaxed

Calculated volume, Å³ per cell: 123.6
Uncorrected energy, eV per atom: -8.100
Calculated formation energy, eV per atom: 0.432

Cell lengths 3.239, 5.989, 7.101 Å; angles 110.45, 90.00, 105.69 degrees
Sites, in units of the cell vectors:
Y: 0.707 0.414 0.931
Y: 0.986 0.971 0.543
Cr: 0.987 0.974 0.012
Cr: 0.419 0.839 0.180
Cr: 0.371 0.742 0.778
Y: 0.697 0.394 0.388

***

Compound: Y2Cr3
Source: Alexandria via LeMat-Bulk
Functional: GGA-PBEsol
Structure: relaxed

Calculated volume, Å³ per cell: 91.1
Uncorrected energy, eV per atom: -8.073
Calculated formation energy, eV per atom: 0.801

Cell lengths 3.122, 3.122, 10.943 Å; angles 81.80, 81.80, 60.00 degrees
Sites, in units of the cell vectors:
Y: 0.405 0.405 0.785
Cr: 0.812 0.812 0.563
Y: 0.595 0.595 0.215
Cr: 0.000 0.000 0.000
Cr: 0.188 0.188 0.437

***

Compound: YCr2
Source: Alexandria via LeMat-Bulk
Functional: GGA-PBEsol
Structure: relaxed

Calculated volume, Å³ per cell: 49.9
Uncorrected energy, eV per atom: -8.670
Calculated formation energy, eV per atom: 0.432

Cell lengths 3.043, 3.043, 5.801 Å; angles 105.20, 105.20, 90.00 degrees
Sites, in units of the cell vectors:
Cr: 0.788 0.788 0.576
Y: 0.500 0.500 0.000
Cr: 0.212 0.212 0.424

***

Compound: Y3Cr2
Source: Alexandria via LeMat-Bulk
Functional: GGA-PBEsol
Structure: relaxed

Calculated volume, Å³ per cell: 125.5
Uncorrected energy, eV per atom: -7.642
Calculated formation energy, eV per atom: 0.548

Cell lengths 4.895, 4.895, 6.047 Å; angles 90.00, 90.00, 120.00 degrees
Sites, in units of the cell vectors:
Cr: 0.667 0.333 0.141
Cr: 0.333 0.667 0.859
Y: 0.333 0.667 0.342
Y: 0.667 0.333 0.658
Y: 0.000 0.000 0.000

***

Compound: Y4Cr
Source: Alexandria via LeMat-Bulk
Functional: GGA-PBEsol
Structure: relaxed

Calculated volume, Å³ per cell: 135.3
Uncorrected energy, eV per atom: -7.160
Calculated formation energy, eV per atom: 0.346

Cell lengths 5.093, 5.748, 5.748 Å; angles 78.68, 63.70, 63.70 degrees
Sites, in units of the cell vectors:
Cr: 0.000 0.000 0.000
Y: 0.383 0.812 0.423
Y: 0.805 0.577 0.812
Y: 0.617 0.188 0.577
Y: 0.195 0.423 0.188

***

Compound: YCr3
Source: Alexandria via LeMat-Bulk
Functional: GGA-PBEsol
Structure: relaxed

Calculated volume, Å³ per cell: 63.3
Uncorrected energy, eV per atom: -8.767
Calculated formation energy, eV per atom: 0.620

Cell lengths 4.475, 4.475, 4.475 Å; angles 60.00, 60.00, 60.00 degrees
Sites, in units of the cell vectors:
Cr: 0.750 0.750 0.750
Cr: 0.250 0.250 0.250
Y: 0.000 0.000 0.000
Cr: 0.500 0.500 0.500

***

Compound: YZrCr2
Source: Alexandria via LeMat-Bulk
Functional: GGA-PBEsol
Structure: relaxed

Calculated volume, Å³ per cell: 71.4
Uncorrected energy, eV per atom: -8.819
Calculated formation energy, eV per atom: 0.280

Cell lengths 2.981, 2.981, 8.035 Å; angles 90.00, 90.00, 90.00 degrees
Sites, in units of the cell vectors:
Cr: 0.500 0.500 0.187
Y: 0.000 0.000 0.447
Cr: 0.000 0.000 0.048
Zr: 0.500 0.500 0.818

***

Compound: YZrCr2
Source: Alexandria via LeMat-Bulk
Functional: GGA-PBEsol
Structure: relaxed

Calculated volume, Å³ per cell: 73.3
Uncorrected energy, eV per atom: -8.647
Calculated formation energy, eV per atom: 0.452

Cell lengths 3.340, 4.686, 4.686 Å; angles 90.00, 90.00, 90.00 degrees
Sites, in units of the cell vectors:
Y: 0.500 0.500 0.500
Cr: 0.000 0.500 0.000
Cr: 0.000 0.000 0.500
Zr: 0.500 0.000 0.000